No. 1
# MgRuPb2 PBE relaxed
# ΔH_f (0 K)	0.47	eV/atom
# VASP energy	-4.106	eV per atom
data_MgRuPb2
_symmetry_space_group_name_H-M 'F -4 3 m'
_symmetry_Int_Tables_number 216
_symmetry_space_group_name_Hall 'F -4 2 3'
_cell_length_a 7.099
_cell_length_b 7.099
_cell_length_c 7.099
_cell_angle_alpha 90.00
_cell_angle_beta 90.00
_cell_angle_gamma 90.00
loop_
_atom_site_label
_atom_site_type_symbol
_atom_site_fract_x
_atom_site_fract_y
_atom_site_fract_z
Mg1 Mg 0.000 0.000 0.000
Ru1 Ru 0.250 0.250 0.750
Pb1 Pb 0.000 0.000 0.500
Pb2 Pb 0.250 0.250 0.250

No. 2
# MgRuPb PBE relaxed
# ΔH_f (0 K)	0.08	eV/atom
# VASP energy	-4.779	eV per atom
data_MgRuPb
_symmetry_space_group_name_H-M 'I 4 m m'
_symmetry_Int_Tables_number 107
_symmetry_space_group_name_Hall 'I 4 -2'
_cell_length_a 3.436
_cell_length_b 3.436
_cell_length_c 9.472
_cell_angle_alpha 90.00
_cell_angle_beta 90.00
_cell_angle_gamma 90.00
loop_
_atom_site_label
_atom_site_type_symbol
_atom_site_fract_x
_atom_site_fract_y
_atom_site_fract_z
Mg1 Mg 0.000 0.000 0.000
Ru1 Ru 0.000 0.000 0.643
Pb1 Pb 0.000 0.000 0.308

No. 3
# MgRuPb2 PBE relaxed
# ΔH_f (0 K)	0.37	eV/atom
# VASP energy	-4.205	eV per atom
data_MgRuPb2
_symmetry_space_group_name_H-M 'P 4/m m m'
_symmetry_Int_Tables_number 123
_symmetry_space_group_name_Hall '-P 4 2'
_cell_length_a 4.867
_cell_length_b 4.867
_cell_length_c 3.628
_cell_angle_alpha 90.00
_cell_angle_beta 90.00
_cell_angle_gamma 90.00
loop_
_atom_site_label
_atom_site_type_symbol
_atom_site_fract_x
_atom_site_fract_y
_atom_site_fract_z
Mg1 Mg 0.000 0.000 0.000
Ru1 Ru 0.500 0.500 0.000
Pb1 Pb 0.000 0.500 0.500

No. 4
# Mg2RuPb PBE relaxed
# ΔH_f (0 K)	0.24	eV/atom
# VASP energy	-3.804	eV per atom
data_Mg2RuPb
_symmetry_space_group_name_H-M 'R 3 m'
_symmetry_Int_Tables_number 160
_symmetry_space_group_name_Hall 'R 3 -2"'
_cell_length_a 3.2295
_cell_length_b 3.2295
_cell_length_c 28.2526
_cell_angle_alpha 90.00
_cell_angle_beta 90.00
_cell_angle_gamma 120.00
loop_
_atom_site_label
_atom_site_type_symbol
_atom_site_fract_x
_atom_site_fract_y
_atom_site_fract_z
Mg1 Mg 0.0000 0.0000 0.0000
Mg2 Mg 0.0000 0.0000 0.2386
Ru1 Ru 0.0000 0.0000 0.5028
Pb1 Pb 0.0000 0.0000 0.7613

No. 5
# MgRuPb2 PBE relaxed
# ΔH_f (0 K)	0.38	eV/atom
# VASP energy	-4.187	eV per atom
data_MgRuPb2
_symmetry_space_group_name_H-M 'P m m m'
_symmetry_Int_Tables_number 47
_cell_length_a 3.556
_cell_length_b 4.557
_cell_length_c 5.415
_cell_angle_alpha 90.00
_cell_angle_beta 90.00
_cell_angle_gamma 90.00
loop_
_symmetry_equiv_pos_as_xyz
'x,y,z'
'-x,-y,-z'
'-x,-y,z'
'x,y,-z'
'x,-y,-z'
'-x,y,z'
'-x,y,-z'
'x,-y,z'
loop_
_atom_site_label
_atom_site_type_symbol
_atom_site_fract_x
_atom_site_fract_y
_atom_site_fract_z
Mg1 Mg 0.000 0.000 0.000
Ru1 Ru 0.500 0.000 0.500
Pb1 Pb 0.000 0.500 0.500
Pb2 Pb 0.500 0.500 0.000

No. 6
# Mg2RuPb PBE relaxed
# ΔH_f (0 K)	0.05	eV/atom
# VASP energy	-3.998	eV per atom
data_Mg2RuPb
_symmetry_space_group_name_H-M 'P 4/m m m'
_symmetry_Int_Tables_number 123
_symmetry_space_group_name_Hall '-P 4 2'
_cell_length_a 3.383
_cell_length_b 3.383
_cell_length_c 6.895
_cell_angle_alpha 90.00
_cell_angle_beta 90.00
_cell_angle_gamma 90.00
loop_
_atom_site_label
_atom_site_type_symbol
_atom_site_fract_x
_atom_site_fract_y
_atom_site_fract_z
Mg1 Mg 0.000 0.000 0.198
Ru1 Ru 0.500 0.500 0.000
Pb1 Pb 0.500 0.500 0.500

No. 7
# Mg3RuPb PBE relaxed
# ΔH_f (0 K)	0.28	eV/atom
# distance to the lowest polymorph of the same formula	0	meV/atom
# VASP energy	-3.278	eV per atom
data_Mg3RuPb
_symmetry_space_group_name_H-M 'P m -3 m'
_symmetry_Int_Tables_number 221
_symmetry_space_group_name_Hall '-P 4 2 3'
_cell_length_a 4.984
_cell_length_b 4.984
_cell_length_c 4.984
_cell_angle_alpha 90.00
_cell_angle_beta 90.00
_cell_angle_gamma 90.00
loop_
_atom_site_label
_atom_site_type_symbol
_atom_site_fract_x
_atom_site_fract_y
_atom_site_fract_z
Mg1 Mg 0.000 0.000 0.500
Ru1 Ru 0.000 0.000 0.000
Pb1 Pb 0.500 0.500 0.500

No. 8
# Mg2Ru4Pb PBE relaxed
# ΔH_f (0 K)	1.58	eV/atom
# VASP energy	-4.706	eV per atom
data_Mg2Ru4Pb
_symmetry_space_group_name_H-M 'I 4/m m m'
_symmetry_Int_Tables_number 139
_symmetry_space_group_name_Hall '-I 4 2'
_cell_length_a 4.907
_cell_length_b 4.907
_cell_length_c 13.462
_cell_angle_alpha 90.00
_cell_angle_beta 90.00
_cell_angle_gamma 90.00
loop_
_atom_site_label
_atom_site_type_symbol
_atom_site_fract_x
_atom_site_fract_y
_atom_site_fract_z
Mg1 Mg 0.000 0.000 0.108
Ru1 Ru 0.000 0.000 0.302
Ru2 Ru 0.000 0.500 0.000
Pb1 Pb 0.000 0.000 0.500

No. 9
# MgRuPb PBE relaxed
# ΔH_f (0 K)	0.28	eV/atom
# VASP energy	-4.576	eV per atom
data_MgRuPb
_symmetry_space_group_name_H-M 'P 3 m 1'
_symmetry_Int_Tables_number 156
_cell_length_a 4.6173
_cell_length_b 4.6173
_cell_length_c 3.2748
_cell_angle_alpha 90.00
_cell_angle_beta 90.00
_cell_angle_gamma 120.00
loop_
_symmetry_equiv_pos_as_xyz
'x,y,z'
'-y,x-y,z'
'-x+y,-x,z'
'-y,-x,z'
'-x+y,y,z'
'x,x-y,z'
loop_
_atom_site_label
_atom_site_type_symbol
_atom_site_fract_x
_atom_site_fract_y
_atom_site_fract_z
Mg1 Mg 0.0000 0.0000 0.0000
Ru1 Ru 0.3333 0.6667 0.5032
Pb1 Pb 0.6667 0.3333 0.4970

No. 10
# MgRu4Pb PBE relaxed
# ΔH_f (0 K)	0.41	eV/atom
# VASP energy	-6.655	eV per atom
data_MgRu4Pb
_symmetry_space_group_name_H-M 'F -4 3 m'
_symmetry_Int_Tables_number 216
_symmetry_space_group_name_Hall 'F -4 2 3'
_cell_length_a 7.424
_cell_length_b 7.424
_cell_length_c 7.424
_cell_angle_alpha 90.00
_cell_angle_beta 90.00
_cell_angle_gamma 90.00
loop_
_atom_site_label
_atom_site_type_symbol
_atom_site_fract_x
_atom_site_fract_y
_atom_site_fract_z
Mg1 Mg 0.000 0.000 0.000
Ru1 Ru 0.125 0.125 0.375
Pb1 Pb 0.250 0.250 0.750

No. 11
# MgRuPb2 PBE relaxed
# ΔH_f (0 K)	0.18	eV/atom
# VASP energy	-4.396	eV per atom
data_MgRuPb2
_symmetry_space_group_name_H-M 'I m m 2'
_symmetry_Int_Tables_number 44
_cell_length_a 3.165
_cell_length_b 4.545
_cell_length_c 13.279
_cell_angle_alpha 90.00
_cell_angle_beta 90.00
_cell_angle_gamma 90.00
loop_
_symmetry_equiv_pos_as_xyz
'x,y,z'
'-x,-y,z'
'-x,y,z'
'x,-y,z'
'x+1/2,y+1/2,z+1/2'
'-x+1/2,-y+1/2,z+1/2'
'-x+1/2,y+1/2,z+1/2'
'x+1/2,-y+1/2,z+1/2'
loop_
_atom_site_label
_atom_site_type_symbol
_atom_site_fract_x
_atom_site_fract_y
_atom_site_fract_z
Mg1 Mg 0.000 0.000 0.000
Ru1 Ru 0.000 0.500 0.326
Pb1 Pb 0.000 0.000 0.635
Pb2 Pb 0.000 0.500 0.830

No. 12
# Mg6RuPb2 PBE relaxed
# ΔH_f (0 K)	-0.07	eV/atom
# VASP energy	-2.991	eV per atom
data_Mg6RuPb2
_symmetry_space_group_name_H-M 'P -6 2 m'
_symmetry_Int_Tables_number 189
_symmetry_space_group_name_Hall 'P -6 -2'
_cell_length_a 8.1646
_cell_length_b 8.1646
_cell_length_c 3.4942
_cell_angle_alpha 90.00
_cell_angle_beta 90.00
_cell_angle_gamma 120.00
loop_
_atom_site_label
_atom_site_type_symbol
_atom_site_fract_x
_atom_site_fract_y
_atom_site_fract_z
Mg1 Mg 0.0000 0.2497 0.0000
Mg2 Mg 0.0000 0.6530 0.5000
Ru1 Ru 0.0000 0.0000 0.5000
Pb1 Pb 0.3333 0.6667 0.0000

Repeat the sixth record exactly.
# Mg2RuPb PBE relaxed
# ΔH_f (0 K)	0.05	eV/atom
# VASP energy	-3.998	eV per atom
data_Mg2RuPb
_symmetry_space_group_name_H-M 'P 4/m m m'
_symmetry_Int_Tables_number 123
_symmetry_space_group_name_Hall '-P 4 2'
_cell_length_a 3.383
_cell_length_b 3.383
_cell_length_c 6.895
_cell_angle_alpha 90.00
_cell_angle_beta 90.00
_cell_angle_gamma 90.00
loop_
_atom_site_label
_atom_site_type_symbol
_atom_site_fract_x
_atom_site_fract_y
_atom_site_fract_z
Mg1 Mg 0.000 0.000 0.198
Ru1 Ru 0.500 0.500 0.000
Pb1 Pb 0.500 0.500 0.500

Among the records above, which one has the lowest ΔH_f (0 K)? Mg6RuPb2

Look up the VASP energy of the sixth one. -3.998 eV per atom

Which of these has the highest ΔH_f (0 K)? Mg2Ru4Pb